Below is MgMnCr at its PBEsol-relaxed geometry, with properties calculated at the SCAN level.

Geometry as CIF:
```
data_MgMnCr
_chemical_formula_sum 'Mg4 Mn4 Cr4'
_cell_length_a 5.923
_cell_length_b 5.923
_cell_length_c 5.923
_cell_angle_alpha 90.00
_cell_angle_beta 90.00
_cell_angle_gamma 90.00
_symmetry_space_group_name_H-M 'F -4 3 m'
_symmetry_Int_Tables_number 216
_symmetry_space_group_name_Hall 'F -4 2 3'
loop_
_atom_site_label
_atom_site_type_symbol
_atom_site_fract_x
_atom_site_fract_y
_atom_site_fract_z
Mg1 Mg 0.000 0.000 0.000
Mn1 Mn 0.250 0.250 0.750
Cr1 Cr 0.000 0.000 0.500
```

## Properties
Uncorrected energy, eV per cell: -160.97
Formation enthalpy at 0 K, eV/f.u.: 1.37